[1]
## Pu2P2Ru2N (PBE-GGA)

Data for Pu2P2Ru2N after structural relaxation.

* uncorrected formation energy: -5.817 eV/f.u.
* electronic total energy: -10.311 eV/atom

Cell and atoms, written as CIF:
```
data_Pu2P2Ru2N
_space_group_name_H-M_alt 'C 1 2/m 1'
_space_group_IT_number 12
_cell_length_a 11.158
_cell_length_b 3.866
_cell_length_c 6.454
_cell_angle_alpha 90.00
_cell_angle_beta 124.02
_cell_angle_gamma 90.00
loop_
_space_group_symop_operation_xyz
'x,y,z'
'-x,-y,-z'
'-x,y,-z'
'x,-y,z'
'x+1/2,y+1/2,z'
'-x+1/2,-y+1/2,-z'
'-x+1/2,y+1/2,-z'
'x+1/2,-y+1/2,z'
loop_
_atom_site_label
_atom_site_type_symbol
_atom_site_fract_x
_atom_site_fract_y
_atom_site_fract_z
_atom_site_occupancy
Pu1 Pu 0.053 0.000 0.293 1
P1 P 0.180 0.500 0.701 1
Ru1 Ru 0.203 0.500 0.094 1
N1 N 0.000 0.500 0.000 1
```



[2]
## PuPRuN (PBE-GGA)

Data for PuPRuN after structural relaxation.

* uncorrected formation energy: -3.773 eV/f.u.
* electronic total energy: -10.279 eV/atom

Cell and atoms, written as CIF:
```
data_PuPRuN
_space_group_name_H-M_alt 'P 4/n m m'
_space_group_IT_number 129
_cell_length_a 3.925
_cell_length_b 3.925
_cell_length_c 7.885
_cell_angle_alpha 90.00
_cell_angle_beta 90.00
_cell_angle_gamma 90.00
loop_
_space_group_symop_operation_xyz
'x,y,z'
'-x,-y,-z'
'-y+1/2,x,z'
'y+1/2,-x,-z'
'-x+1/2,-y+1/2,z'
'x+1/2,y+1/2,-z'
'y,-x+1/2,z'
'-y,x+1/2,-z'
'x+1/2,-y,-z'
'-x+1/2,y,z'
'-y,-x,-z'
'y,x,z'
'-x,y+1/2,-z'
'x,-y+1/2,z'
'y+1/2,x+1/2,-z'
'-y+1/2,-x+1/2,z'
loop_
_atom_site_label
_atom_site_type_symbol
_atom_site_fract_x
_atom_site_fract_y
_atom_site_fract_z
_atom_site_occupancy
Pu1 Pu 0.250 0.250 0.160 1
P1 P 0.250 0.250 0.654 1
Ru1 Ru 0.250 0.750 0.500 1
N1 N 0.250 0.250 0.870 1
```



[3]
## Pu4PS2N (PBE-GGA)

Data for Pu4PS2N after structural relaxation.

* uncorrected formation energy: -11.319 eV/f.u.
* electronic total energy: -11.330 eV/atom

Cell and atoms, written as CIF:
```
data_Pu4PS2N
_space_group_name_H-M_alt 'P 1 2/m 1'
_space_group_IT_number 10
_cell_length_a 6.685
_cell_length_b 3.836
_cell_length_c 6.751
_cell_angle_alpha 90.00
_cell_angle_beta 109.06
_cell_angle_gamma 90.00
loop_
_space_group_symop_operation_xyz
'x,y,z'
'-x,-y,-z'
'-x,y,-z'
'x,-y,z'
loop_
_atom_site_label
_atom_site_type_symbol
_atom_site_fract_x
_atom_site_fract_y
_atom_site_fract_z
_atom_site_occupancy
Pu1 Pu 0.222 0.000 0.222 1
Pu2 Pu 0.233 0.500 0.766 1
P1 P 0.500 0.000 0.000 1
S1 S 0.000 0.000 0.500 1
S2 S 0.500 0.500 0.500 1
N1 N 0.000 0.500 0.000 1
```



[4]
## Pu6P2Se3N (PBE-GGA)

Data for Pu6P2Se3N after structural relaxation.

* uncorrected formation energy: -15.985 eV/f.u.
* electronic total energy: -10.965 eV/atom

Cell and atoms, written as CIF:
```
data_Pu6P2Se3N
_space_group_name_H-M_alt 'C 1 2/m 1'
_space_group_IT_number 12
_cell_length_a 6.878
_cell_length_b 11.919
_cell_length_c 7.028
_cell_angle_alpha 90.00
_cell_angle_beta 109.18
_cell_angle_gamma 90.00
loop_
_space_group_symop_operation_xyz
'x,y,z'
'-x,-y,-z'
'-x,y,-z'
'x,-y,z'
'x+1/2,y+1/2,z'
'-x+1/2,-y+1/2,-z'
'-x+1/2,y+1/2,-z'
'x+1/2,-y+1/2,z'
loop_
_atom_site_label
_atom_site_type_symbol
_atom_site_fract_x
_atom_site_fract_y
_atom_site_fract_z
_atom_site_occupancy
Pu1 Pu 0.225 0.153 0.219 1
Pu2 Pu 0.231 0.000 0.776 1
P1 P 0.000 0.335 0.000 1
Se1 Se 0.000 0.176 0.500 1
Se2 Se 0.000 0.500 0.500 1
N1 N 0.000 0.000 0.000 1
```



[5]
## Pu4PSe2N (PBE-GGA)

Data for Pu4PSe2N after structural relaxation.

* uncorrected formation energy: -9.809 eV/f.u.
* electronic total energy: -10.980 eV/atom

Cell and atoms, written as CIF:
```
data_Pu4PSe2N
_space_group_name_H-M_alt 'P 1 2/m 1'
_space_group_IT_number 10
_cell_length_a 6.808
_cell_length_b 3.874
_cell_length_c 6.978
_cell_angle_alpha 90.00
_cell_angle_beta 109.06
_cell_angle_gamma 90.00
loop_
_space_group_symop_operation_xyz
'x,y,z'
'-x,-y,-z'
'-x,y,-z'
'x,-y,z'
loop_
_atom_site_label
_atom_site_type_symbol
_atom_site_fract_x
_atom_site_fract_y
_atom_site_fract_z
_atom_site_occupancy
Pu1 Pu 0.216 0.000 0.207 1
Pu2 Pu 0.242 0.500 0.774 1
P1 P 0.500 0.000 0.000 1
Se1 Se 0.000 0.000 0.500 1
Se2 Se 0.500 0.500 0.500 1
N1 N 0.000 0.500 0.000 1
```



[6]
## SrPuP2N6 (PBE-GGA)

Data for SrPuP2N6 after structural relaxation.

* uncorrected formation energy: -5.767 eV/f.u.
* electronic total energy: -8.255 eV/atom

Cell and atoms, written as CIF:
```
data_SrPuP2N6
_space_group_name_H-M_alt 'C 1 2/c 1'
_space_group_IT_number 15
_cell_length_a 10.387
_cell_length_b 10.233
_cell_length_c 5.504
_cell_angle_alpha 90.00
_cell_angle_beta 107.64
_cell_angle_gamma 90.00
loop_
_space_group_symop_operation_xyz
'x,y,z'
'-x,-y,-z'
'-x,y,-z+1/2'
'x,-y,z+1/2'
'x+1/2,y+1/2,z'
'-x+1/2,-y+1/2,-z'
'-x+1/2,y+1/2,-z+1/2'
'x+1/2,-y+1/2,z+1/2'
loop_
_atom_site_label
_atom_site_type_symbol
_atom_site_fract_x
_atom_site_fract_y
_atom_site_fract_z
_atom_site_occupancy
Sr1 Sr 0.000 0.095 0.250 1
Pu1 Pu 0.000 0.298 0.750 1
P1 P 0.214 0.422 0.159 1
N1 N 0.101 0.302 0.112 1
N2 N 0.133 0.124 0.715 1
N3 N 0.171 0.467 0.846 1
```



[7]
## Sr3PuP2N6 (PBE-GGA)

Data for Sr3PuP2N6 after structural relaxation.

* uncorrected formation energy: -10.797 eV/f.u.
* electronic total energy: -7.579 eV/atom

Cell and atoms, written as CIF:
```
data_Sr3PuP2N6
_space_group_name_H-M_alt 'P -3 m 1'
_space_group_IT_number 164
_space_group_name_Hall '-P 3 2"'
_cell_length_a 5.7813
_cell_length_b 5.7813
_cell_length_c 6.6643
_cell_angle_alpha 90.00
_cell_angle_beta 90.00
_cell_angle_gamma 120.00
loop_
_atom_site_label
_atom_site_type_symbol
_atom_site_fract_x
_atom_site_fract_y
_atom_site_fract_z
_atom_site_occupancy
Sr1 Sr 0.0000 0.0000 0.0000 1
Sr2 Sr 0.3333 0.6667 0.6697 1
Pu1 Pu 0.0000 0.0000 0.5000 1
P1 P 0.3333 0.6667 0.2071 1
N1 N 0.1780 0.3559 0.3034 1
```



[8]
## Sr2Pu4P3N2 (PBE-GGA)

Data for Sr2Pu4P3N2 after structural relaxation.

* uncorrected formation energy: -11.396 eV/f.u.
* electronic total energy: -9.542 eV/atom

Cell and atoms, written as CIF:
```
data_Sr2Pu4P3N2
_space_group_name_H-M_alt 'I 4/m m m'
_space_group_IT_number 139
_space_group_name_Hall '-I 4 2'
_cell_length_a 4.591
_cell_length_b 4.591
_cell_length_c 23.792
_cell_angle_alpha 90.00
_cell_angle_beta 90.00
_cell_angle_gamma 90.00
loop_
_atom_site_label
_atom_site_type_symbol
_atom_site_fract_x
_atom_site_fract_y
_atom_site_fract_z
_atom_site_occupancy
Sr1 Sr 0.000 0.000 0.200 1
Pu1 Pu 0.000 0.500 0.079 1
P1 P 0.000 0.000 0.334 1
P2 P 0.000 0.000 0.500 1
N1 N 0.000 0.000 0.092 1
```



no.,total magnetization (μB/cell)
1,20.46
2,10.43
3,21.26
4,65.15
5,0.02
6,8.00
7,2.04
8,41.98